Dy5Bi4Pb | Alexandria via LeMat-Bulk | PBE | optimized geometry; electronic total energy = -4.977 eV per atom; symmetry = I4/m; magnetization = 0.000 μB per formula unit; energy relative to the elements = -0.75 eV per atom; crystal system = tetragonal
1.0
-4.634 4.262 -0.578
-3.191 0.264 -7.050
-7.046 -2.745 1.668
Dy Bi Pb
5 4 1
direct
0.901 0.399 0.802
0.299 0.802 0.601
0.702 0.198 0.399
0.101 0.601 0.198
0.502 0.000 0.000
0.402 0.400 0.798
0.802 0.798 0.600
0.200 0.202 0.400
0.600 0.600 0.202
0.002 0.000 0.000

***

Dy2BiPb | Alexandria via LeMat-Bulk | PBE | optimized geometry; electronic total energy = -4.714 eV per atom; symmetry = P4/mmm; excess energy over the best structure of this formula in the dataset = 0.148 eV/atom; magnetization = 0.000 μB per formula unit; energy relative to the elements = -0.52 eV per atom; crystal system = tetragonal
1.0
-2.015 3.517 0.485
-3.478 -1.844 -1.081
-1.207 -1.603 6.614
Pb Bi Dy
1 1 2
direct
0.500 0.500 0.500
0.500 0.500 0.000
0.000 0.000 0.752
0.000 0.000 0.248

***

Dy4BiPb | Alexandria via LeMat-Bulk | PBE | optimized geometry; electronic total energy = -4.736 eV per atom; symmetry = C2/c; magnetization = 0.000 μB per formula unit; energy relative to the elements = -0.40 eV per atom; crystal system = monoclinic
1.0
-4.976 0.613 4.213
4.978 -7.615 0.872
4.070 6.661 1.806
Dy Bi Pb
8 2 2
direct
0.104 0.204 0.804
0.763 0.711 0.607
0.200 0.600 0.804
0.344 0.896 0.607
0.656 0.104 0.393
0.800 0.400 0.196
0.237 0.289 0.393
0.896 0.796 0.196
0.358 0.608 0.215
0.642 0.392 0.785
0.255 0.005 0.010
0.745 0.995 0.990